Record 1
A relaxed FeH3I crystal, computed with GGA-PBE.

CIF file:
```
data_FeH3I
_chemical_formula_sum 'Fe1 H3 I1'
_cell_length_a 3.741
_cell_length_b 3.741
_cell_length_c 3.741
_cell_angle_alpha 90.00
_cell_angle_beta 90.00
_cell_angle_gamma 90.00
_symmetry_space_group_name_H-M 'P 1'
_symmetry_Int_Tables_number 1
_symmetry_space_group_name_Hall 'P 1'
loop_
_atom_site_label
_atom_site_type_symbol
_atom_site_fract_x
_atom_site_fract_y
_atom_site_fract_z
I1 I 0.500 0.500 0.500
H1 H 0.000 0.500 0.000
H2 H 0.000 0.000 0.500
H3 H 0.500 0.000 0.000
Fe1 Fe 0.000 0.000 0.000
```

## Properties
Total magnetic moment ... 2.84 μB/f.u.
Excess energy over the best structure of this formula in the dataset ... 0.0 meV/atom
Volume ... 52.4 Å³ per cell


Record 2
A relaxed Fe2HI crystal, computed with GGA-PBE.

CIF file:
```
data_Fe2HI
_chemical_formula_sum 'Fe2 H1 I1'
_cell_length_a 4.069
_cell_length_b 4.069
_cell_length_c 4.069
_cell_angle_alpha 60.00
_cell_angle_beta 60.00
_cell_angle_gamma 60.00
_symmetry_space_group_name_H-M 'P 1'
_symmetry_Int_Tables_number 1
_symmetry_space_group_name_Hall 'P 1'
loop_
_atom_site_label
_atom_site_type_symbol
_atom_site_fract_x
_atom_site_fract_y
_atom_site_fract_z
I1 I 0.500 0.500 0.500
H1 H 0.000 0.000 0.000
Fe1 Fe 0.250 0.250 0.250
Fe2 Fe 0.750 0.750 0.750
```

## Properties
Total magnetic moment ... 0.00 μB/f.u.
Excess energy over the best structure of this formula in the dataset ... 632.9 meV/atom
Volume ... 47.6 Å³ per cell


Record 3
A relaxed Fe2H2I7 crystal, computed with GGA-PBE.

CIF file:
```
data_Fe2H2I7
_chemical_formula_sum 'Fe2 H2 I7'
_cell_length_a 7.691
_cell_length_b 8.127
_cell_length_c 8.127
_cell_angle_alpha 114.90
_cell_angle_beta 81.90
_cell_angle_gamma 81.90
_symmetry_space_group_name_H-M 'P 1'
_symmetry_Int_Tables_number 1
_symmetry_space_group_name_Hall 'P 1'
loop_
_atom_site_label
_atom_site_type_symbol
_atom_site_fract_x
_atom_site_fract_y
_atom_site_fract_z
Fe1 Fe 0.875 0.333 0.333
Fe2 Fe 0.125 0.667 0.667
H1 H 0.500 0.336 0.664
H2 H 0.500 0.664 0.336
I1 I 0.298 0.851 0.519
I2 I 0.702 0.481 0.149
I3 I 0.702 0.149 0.481
I4 I 0.298 0.519 0.851
I5 I 0.000 0.000 0.000
I6 I 0.783 0.660 0.660
I7 I 0.217 0.340 0.340
```

## Properties
Total magnetic moment ... 8.58 μB/f.u.
E_tot ... -3.17 eV/atom
Volume ... 444.7 Å³ per cell


Record 4
A relaxed FeH2I6 crystal, computed with GGA-PBE.

CIF file:
```
data_FeH2I6
_chemical_formula_sum 'Fe1 H2 I6'
_cell_length_a 4.186
_cell_length_b 13.745
_cell_length_c 8.130
_cell_angle_alpha 46.11
_cell_angle_beta 78.21
_cell_angle_gamma 86.82
_symmetry_space_group_name_H-M 'P 1'
_symmetry_Int_Tables_number 1
_symmetry_space_group_name_Hall 'P 1'
loop_
_atom_site_label
_atom_site_type_symbol
_atom_site_fract_x
_atom_site_fract_y
_atom_site_fract_z
Fe1 Fe 0.000 0.500 0.500
H1 H 0.989 0.834 0.999
H2 H 0.011 0.166 0.001
I1 I 0.869 0.861 0.709
I2 I 0.131 0.139 0.291
I3 I 0.942 0.217 0.751
I4 I 0.382 0.457 0.788
I5 I 0.058 0.783 0.249
I6 I 0.618 0.543 0.212
```

## Properties
Total magnetic moment ... 4.00 μB/f.u.
E_tot ... -2.71 eV/atom
Volume ... 327.6 Å³ per cell


Record 5
A relaxed FeH2I4 crystal, computed with GGA-PBE.

CIF file:
```
data_FeH2I4
_chemical_formula_sum 'Fe1 H2 I4'
_cell_length_a 4.143
_cell_length_b 7.827
_cell_length_c 7.327
_cell_angle_alpha 96.30
_cell_angle_beta 106.42
_cell_angle_gamma 90.00
_symmetry_space_group_name_H-M 'P 1'
_symmetry_Int_Tables_number 1
_symmetry_space_group_name_Hall 'P 1'
loop_
_atom_site_label
_atom_site_type_symbol
_atom_site_fract_x
_atom_site_fract_y
_atom_site_fract_z
Fe1 Fe 0.000 0.000 0.000
H1 H 0.241 0.231 0.483
H2 H 0.759 0.769 0.517
I1 I 0.135 0.311 0.270
I2 I 0.865 0.689 0.730
I3 I 0.400 0.144 0.800
I4 I 0.600 0.856 0.200
```

## Properties
Total magnetic moment ... 4.00 μB/f.u.
E_tot ... -3.03 eV/atom
Volume ... 226.4 Å³ per cell


Record 6
A relaxed Fe2HI6 crystal, computed with GGA-PBE.

CIF file:
```
data_Fe2HI6
_chemical_formula_sum 'Fe4 H2 I12'
_cell_length_a 7.260
_cell_length_b 10.525
_cell_length_c 10.525
_cell_angle_alpha 91.35
_cell_angle_beta 97.73
_cell_angle_gamma 97.73
_symmetry_space_group_name_H-M 'P 1'
_symmetry_Int_Tables_number 1
_symmetry_space_group_name_Hall 'P 1'
loop_
_atom_site_label
_atom_site_type_symbol
_atom_site_fract_x
_atom_site_fract_y
_atom_site_fract_z
Fe1 Fe 0.318 0.625 0.781
Fe2 Fe 0.182 0.219 0.375
Fe3 Fe 0.682 0.375 0.219
Fe4 Fe 0.818 0.781 0.625
H1 H 0.250 0.290 0.710
H2 H 0.750 0.710 0.290
I1 I 0.643 0.575 0.719
I2 I 0.857 0.281 0.425
I3 I 0.357 0.425 0.281
I4 I 0.143 0.719 0.575
I5 I 0.647 0.824 0.398
I6 I 0.853 0.602 0.176
I7 I 0.353 0.176 0.602
I8 I 0.147 0.398 0.824
I9 I 0.357 0.774 0.973
I10 I 0.143 0.027 0.226
I11 I 0.643 0.226 0.027
I12 I 0.857 0.973 0.774
```

## Properties
Total magnetic moment ... 9.00 μB/f.u.
E_tot ... -3.38 eV/atom
Volume ... 788.9 Å³ per cell